[1]
Material: Dy3Ho4Th5
Method: DFT, PBE-GGA
State: relaxed

Cell: 6.6634 6.6634 12.7908 Å, 114.40 114.40 52.68°
Positions (direct):
Dy1 0.0000 0.0000 0.0000
Dy2 0.3582 0.3582 0.2226
Dy3 0.6418 0.6418 0.7774
Ho1 0.0614 0.0614 0.3169
Ho2 0.2112 0.2112 0.9248
Ho3 0.7888 0.7888 0.0752
Ho4 0.9386 0.9386 0.6831
Th1 0.2365 0.2365 0.6745
Th2 0.3649 0.3649 0.5029
Th3 0.5000 0.5000 0.0000
Th4 0.6351 0.6351 0.4971
Th5 0.7635 0.7635 0.3255

Summary:
size of the total moment: 0.0 μB/f.u.
symmetry: C2/m, No. 12
V: 33.40 Å³/atom
energy of formation: 0.330 eV/atom



[2]
Material: DyHo6Th2
Method: DFT, PBE-GGA
State: relaxed

Cell: 3.5536 3.5536 26.1703 Å, 90.00 90.00 120.00°
Positions (direct):
Dy1 0.0000 0.0000 0.0000
Ho1 0.0000 0.0000 0.2164
Ho2 0.0000 0.0000 0.4366
Ho3 0.0000 0.0000 0.5634
Ho4 0.0000 0.0000 0.7836
Ho5 0.3333 0.6667 0.1087
Ho6 0.3333 0.6667 0.8913
Th1 0.3333 0.6667 0.3288
Th2 0.3333 0.6667 0.6712

Summary:
size of the total moment: 0.0 μB/f.u.
symmetry: P-6m2, No. 187
V: 31.80 Å³/atom
energy of formation: 0.071 eV/atom
energy above the most stable polymorph in this dataset: 0 meV/atom



[3]
Material: Dy2Ho5Th5
Method: DFT, PBE-GGA
State: relaxed

Cell: 6.6112 6.6112 12.0024 Å, 106.93 106.93 50.40°
Positions (direct):
Dy1 0.0427 0.0427 0.2093
Dy2 0.9573 0.9573 0.7907
Ho1 0.2936 0.2936 0.4602
Ho2 0.4576 0.4576 0.2909
Ho3 0.5000 0.5000 0.0000
Ho4 0.5424 0.5424 0.7091
Ho5 0.7064 0.7064 0.5398
Th1 0.0000 0.0000 0.5000
Th2 0.2099 0.2099 0.0387
Th3 0.2481 0.2481 0.7457
Th4 0.7519 0.7519 0.2543
Th5 0.7901 0.7901 0.9613

Summary:
size of the total moment: 0.0 μB/f.u.
symmetry: C2/m, No. 12
V: 31.89 Å³/atom
energy of formation: 0.086 eV/atom
energy above the most stable polymorph in this dataset: 41 meV/atom



[4]
Material: Dy4Ho8Th
Method: DFT, PBE-GGA
State: relaxed

Cell: 11.2369 11.2369 11.2369 Å, 35.54 35.54 35.54°
Positions (direct):
Dy1 0.0000 0.0000 0.0000
Dy2 0.0000 0.5000 0.5000
Dy3 0.5000 0.0000 0.5000
Dy4 0.5000 0.5000 0.0000
Ho1 0.2009 0.2009 0.2009
Ho2 0.2368 0.7491 0.7491
Ho3 0.2509 0.2509 0.7632
Ho4 0.2509 0.7632 0.2509
Ho5 0.7491 0.2368 0.7491
Ho6 0.7491 0.7491 0.2368
Ho7 0.7632 0.2509 0.2509
Ho8 0.7991 0.7991 0.7991
Th1 0.5000 0.5000 0.5000

Summary:
size of the total moment: 0.0 μB/f.u.
symmetry: R-3m, No. 166
V: 32.95 Å³/atom
energy of formation: 0.288 eV/atom



[5]
Material: DyHo6Th
Method: DFT, PBE-GGA
State: relaxed

Cell: 6.5365 6.6480 6.7297 Å, 60.62 84.27 87.74°
Positions (direct):
Dy1 0.0000 0.0000 0.0000
Ho1 0.2401 0.5645 0.5259
Ho2 0.2487 0.5293 0.0254
Ho3 0.2557 0.0650 0.5118
Ho4 0.7443 0.9350 0.4882
Ho5 0.7513 0.4707 0.9746
Ho6 0.7599 0.4355 0.4741
Th1 0.5000 0.0000 0.0000

Summary:
size of the total moment: 0.0 μB/f.u.
symmetry: P-1, No. 2
V: 31.69 Å³/atom
energy of formation: 0.225 eV/atom
energy above the most stable polymorph in this dataset: 194 meV/atom



[6]
Material: Dy4Ho7Th
Method: DFT, PBE-GGA
State: relaxed

Cell: 7.0648 7.9019 7.9025 Å, 95.87 116.36 102.89°
Positions (direct):
Dy1 0.0049 0.1677 0.1704
Dy2 0.2528 0.1701 0.6654
Dy3 0.7472 0.8299 0.3346
Dy4 0.9951 0.8323 0.8296
Ho1 0.0000 0.5000 0.5000
Ho2 0.2527 0.5000 0.0046
Ho3 0.2531 0.8299 0.3352
Ho4 0.4986 0.1678 0.1678
Ho5 0.5014 0.8322 0.8322
Ho6 0.7469 0.1701 0.6648
Ho7 0.7473 0.5000 0.9954
Th1 0.5000 0.5000 0.5000

Summary:
size of the total moment: 0.0 μB/f.u.
symmetry: P-1, No. 2
V: 31.25 Å³/atom
energy of formation: 0.020 eV/atom
energy above the most stable polymorph in this dataset: 0 meV/atom



[7]
Material: Dy3Ho5Th3
Method: DFT, PBE-GGA
State: relaxed

Cell: 3.5428 10.8019 10.8019 Å, 120.11 90.00 90.00°
Positions (direct):
Dy1 0.0000 0.0000 0.0000
Dy2 0.5000 0.6828 0.8558
Dy3 0.5000 0.8558 0.6828
Ho1 0.0000 0.5393 0.5393
Ho2 0.5000 0.2098 0.8879
Ho3 0.5000 0.3293 0.6504
Ho4 0.5000 0.6504 0.3293
Ho5 0.5000 0.8879 0.2098
Th1 0.0000 0.0096 0.5289
Th2 0.0000 0.5289 0.0096
Th3 0.5000 0.2698 0.2698

Summary:
size of the total moment: 0.0 μB/f.u.
symmetry: Amm2, No. 38
V: 32.51 Å³/atom
energy of formation: 0.157 eV/atom
energy above the most stable polymorph in this dataset: 0 meV/atom



[8]
Material: Dy5Ho2Th4
Method: DFT, PBE-GGA
State: relaxed

Cell: 6.6539 6.6539 9.1712 Å, 103.70 103.70 66.54°
Positions (direct):
Dy1 0.0000 0.0000 0.0000
Dy2 0.2067 0.6460 0.7208
Dy3 0.3540 0.7933 0.2792
Dy4 0.6460 0.2067 0.7208
Dy5 0.7933 0.3540 0.2792
Ho1 0.1404 0.1404 0.6299
Ho2 0.8596 0.8596 0.3701
Th1 0.3131 0.3131 0.0058
Th2 0.3309 0.3309 0.3733
Th3 0.6691 0.6691 0.6267
Th4 0.6869 0.6869 0.9942

Summary:
size of the total moment: 0.0 μB/f.u.
symmetry: C2/m, No. 12
V: 32.48 Å³/atom
energy of formation: 0.181 eV/atom
energy above the most stable polymorph in this dataset: 0 meV/atom



[9]
Material: DyHoTh
Method: DFT, PBE-GGA
State: relaxed

Cell: 7.5793 6.3614 6.3543 Å, 73.18 53.46 53.37°
Positions (direct):
Dy1 0.1585 0.8415 0.1585
Dy2 0.8415 0.1585 0.8415
Ho1 0.3419 0.3419 0.6581
Ho2 0.6581 0.6581 0.3419
Th1 0.2500 0.2500 0.2500
Th2 0.7500 0.7500 0.7500

Summary:
size of the total moment: 0.0 μB/f.u.
symmetry: Fmmm, No. 69
V: 32.75 Å³/atom
energy of formation: 0.255 eV/atom
energy above the most stable polymorph in this dataset: 237 meV/atom



[10]
Material: Dy4HoTh
Method: DFT, PBE-GGA
State: relaxed

Cell: 15.3475 3.5598 7.0981 Å, 90.00 103.35 90.00°
Positions (direct):
Dy1 0.1631 0.0000 0.3353
Dy2 0.1650 0.0000 0.8288
Dy3 0.3350 0.5000 0.1712
Dy4 0.3369 0.5000 0.6647
Dy5 0.6631 0.5000 0.3353
Dy6 0.6650 0.5000 0.8288
Dy7 0.8350 0.0000 0.1712
Dy8 0.8369 0.0000 0.6647
Ho1 0.0000 0.5000 0.0000
Ho2 0.5000 0.0000 0.0000
Th1 0.0000 0.5000 0.5000
Th2 0.5000 0.0000 0.5000

Summary:
size of the total moment: 0.0 μB/f.u.
symmetry: C2/m, No. 12
V: 31.44 Å³/atom
energy of formation: 0.015 eV/atom
energy above the most stable polymorph in this dataset: 0 meV/atom



[11]
Material: Dy2Ho7Th
Method: DFT, PBE-GGA
State: relaxed

Cell: 9.5806 9.5806 5.1905 Å, 90.00 90.00 126.29°
Positions (direct):
Dy1 0.2013 0.7987 0.0000
Dy2 0.7987 0.2013 0.0000
Ho1 0.0000 0.0000 0.0000
Ho2 0.2141 0.4300 0.0000
Ho3 0.3035 0.6965 0.5000
Ho4 0.4300 0.2141 0.0000
Ho5 0.5700 0.7859 0.0000
Ho6 0.6965 0.3035 0.5000
Ho7 0.7859 0.5700 0.0000
Th1 0.5000 0.5000 0.5000

Summary:
size of the total moment: 0.0 μB/f.u.
symmetry: Cmmm, No. 65
V: 38.40 Å³/atom
energy of formation: 0.727 eV/atom



[12]
Material: Dy8HoTh4
Method: DFT, PBE-GGA
State: relaxed

Cell: 9.8614 9.8614 9.8614 Å, 43.93 43.93 43.93°
Positions (direct):
Dy1 0.1912 0.7507 0.7507
Dy2 0.2203 0.2203 0.2203
Dy3 0.2493 0.2493 0.8088
Dy4 0.2493 0.8088 0.2493
Dy5 0.7507 0.1912 0.7507
Dy6 0.7507 0.7507 0.1912
Dy7 0.7797 0.7797 0.7797
Dy8 0.8088 0.2493 0.2493
Ho1 0.5000 0.5000 0.5000
Th1 0.0000 0.0000 0.0000
Th2 0.0000 0.5000 0.5000
Th3 0.5000 0.0000 0.5000
Th4 0.5000 0.5000 0.0000

Summary:
size of the total moment: 0.0 μB/f.u.
symmetry: R-3m, No. 166
V: 32.25 Å³/atom
energy of formation: 0.223 eV/atom



[13]
Material: Dy11Ho9Th4
Method: DFT, PBE-GGA
State: relaxed

Cell: 15.4581 15.4581 3.5695 Å, 90.00 90.00 116.50°
Positions (direct):
Dy1 0.0000 0.0000 0.0000
Dy2 0.0329 0.4040 0.0000
Dy3 0.1871 0.8129 0.0000
Dy4 0.2138 0.2138 0.0000
Dy5 0.3767 0.6233 0.0000
Dy6 0.4040 0.0329 0.0000
Dy7 0.5960 0.9671 0.0000
Dy8 0.6233 0.3767 0.0000
Dy9 0.7862 0.7862 0.0000
Dy10 0.8129 0.1871 0.0000
Dy11 0.9671 0.5960 0.0000
Ho1 0.0157 0.2028 0.5000
Ho2 0.1740 0.6119 0.5000
Ho3 0.2028 0.0157 0.5000
Ho4 0.3881 0.8260 0.5000
Ho5 0.5000 0.5000 0.5000
Ho6 0.6119 0.1740 0.5000
Ho7 0.7972 0.9843 0.5000
Ho8 0.8260 0.3881 0.5000
Ho9 0.9843 0.7972 0.5000
Th1 0.2445 0.4164 0.5000
Th2 0.4164 0.2445 0.5000
Th3 0.5836 0.7555 0.5000
Th4 0.7555 0.5836 0.5000

Summary:
size of the total moment: 0.0 μB/f.u.
symmetry: Cmmm, No. 65
V: 31.81 Å³/atom
energy of formation: 0.078 eV/atom



[14]
Material: Dy7Ho2Th2
Method: DFT, PBE-GGA
State: relaxed

Cell: 7.9566 7.9566 6.0923 Å, 105.98 105.98 91.60°
Positions (direct):
Dy1 0.0000 0.0000 0.0000
Dy2 0.0632 0.5882 0.8276
Dy3 0.2359 0.2359 0.5821
Dy4 0.4118 0.9368 0.1724
Dy5 0.5882 0.0632 0.8276
Dy6 0.7641 0.7641 0.4179
Dy7 0.9368 0.4118 0.1724
Ho1 0.2174 0.7826 0.5000
Ho2 0.7826 0.2174 0.5000
Th1 0.4181 0.4181 0.1938
Th2 0.5819 0.5819 0.8062

Summary:
size of the total moment: 0.0 μB/f.u.
symmetry: C2/m, No. 12
V: 32.20 Å³/atom
energy of formation: 0.179 eV/atom
energy above the most stable polymorph in this dataset: 0 meV/atom



[15]
Material: Dy5Ho5Th2
Method: DFT, PBE-GGA
State: relaxed

Cell: 7.9281 7.9281 11.1872 Å, 115.18 115.18 36.96°
Positions (direct):
Dy1 0.0000 0.0000 0.0000
Dy2 0.0851 0.0851 0.7534
Dy3 0.1677 0.1677 0.5013
Dy4 0.8323 0.8323 0.4987
Dy5 0.9149 0.9149 0.2466
Ho1 0.2496 0.2496 0.2463
Ho2 0.4168 0.4168 0.7506
Ho3 0.5000 0.5000 0.5000
Ho4 0.5832 0.5832 0.2494
Ho5 0.7504 0.7504 0.7537
Th1 0.3318 0.3318 0.0004
Th2 0.6682 0.6682 0.9996

Summary:
size of the total moment: 0.0 μB/f.u.
symmetry: C2/m, No. 12
V: 31.49 Å³/atom
energy of formation: 0.027 eV/atom



[16]
Material: DyHo6Th4
Method: DFT, PBE-GGA
State: relaxed

Cell: 8.5088 8.5088 8.5088 Å, 125.23 125.23 81.16°
Positions (direct):
Dy1 0.0000 0.0000 0.0000
Ho1 0.0000 0.5000 0.5000
Ho2 0.0726 0.5628 0.0000
Ho3 0.4372 0.4372 0.5098
Ho4 0.5000 0.0000 0.5000
Ho5 0.5628 0.0726 0.0000
Ho6 0.9274 0.9274 0.4902
Th1 0.2580 0.2580 0.6634
Th2 0.4054 0.7420 0.0000
Th3 0.5946 0.5946 0.3366
Th4 0.7420 0.4054 0.0000

Summary:
size of the total moment: 0.0 μB/f.u.
symmetry: I-42m, No. 121
V: 36.00 Å³/atom
energy of formation: 0.508 eV/atom
energy above the most stable polymorph in this dataset: 344 meV/atom



[17]
Material: Dy4HoTh
Method: DFT, PBE-GGA
State: relaxed

Cell: 6.5235 6.5235 6.5235 Å, 60.00 60.00 60.00°
Positions (direct):
Dy1 0.1254 0.1254 0.1254
Dy2 0.1254 0.1254 0.6238
Dy3 0.1254 0.6238 0.1254
Dy4 0.6238 0.1254 0.1254
Ho1 0.7500 0.7500 0.7500
Th1 0.5000 0.5000 0.5000

Summary:
size of the total moment: 2.0 μB/f.u.
symmetry: F-43m, No. 216
V: 32.72 Å³/atom
energy of formation: 0.326 eV/atom
energy above the most stable polymorph in this dataset: 311 meV/atom



[18]
Material: Dy12Ho5Th2
Method: DFT, PBE-GGA
State: relaxed

Cell: 9.0858 9.0858 8.4927 Å, 91.19 91.19 61.88°
Positions (direct):
Dy1 0.0581 0.0581 0.3265
Dy2 0.0652 0.6807 0.3416
Dy3 0.1670 0.5260 0.7584
Dy4 0.3193 0.9348 0.6584
Dy5 0.4131 0.4131 0.1172
Dy6 0.4740 0.8330 0.2416
Dy7 0.5260 0.1670 0.7584
Dy8 0.5869 0.5869 0.8828
Dy9 0.6807 0.0652 0.3416
Dy10 0.8330 0.4740 0.2416
Dy11 0.9348 0.3193 0.6584
Dy12 0.9419 0.9419 0.6735
Ho1 0.1961 0.1961 0.0146
Ho2 0.2680 0.2680 0.4250
Ho3 0.5000 0.5000 0.5000
Ho4 0.7320 0.7320 0.5750
Ho5 0.8039 0.8039 0.9854
Th1 0.1783 0.8217 0.0000
Th2 0.8217 0.1783 0.0000

Summary:
size of the total moment: 0.0 μB/f.u.
symmetry: C2/m, No. 12
V: 32.53 Å³/atom
energy of formation: 0.151 eV/atom
energy above the most stable polymorph in this dataset: 71 meV/atom



[19]
Material: Dy3Ho2Th2
Method: DFT, PBE-GGA
State: relaxed

Cell: 17.3739 3.4406 8.5600 Å, 90.00 119.08 90.00°
Positions (direct):
Dy1 0.0000 0.0000 0.0000
Dy2 0.2153 0.0000 0.1317
Dy3 0.2847 0.5000 0.8683
Dy4 0.5000 0.5000 0.0000
Dy5 0.7153 0.5000 0.1317
Dy6 0.7847 0.0000 0.8683
Ho1 0.0634 0.5000 0.7204
Ho2 0.4366 0.0000 0.2796
Ho3 0.5634 0.0000 0.7204
Ho4 0.9366 0.5000 0.2796
Th1 0.1513 0.0000 0.4586
Th2 0.3487 0.5000 0.5414
Th3 0.6513 0.5000 0.4586
Th4 0.8487 0.0000 0.5414

Summary:
size of the total moment: 0.0 μB/f.u.
symmetry: C2/m, No. 12
V: 31.94 Å³/atom
energy of formation: 0.138 eV/atom



[20]
Material: Dy3Ho5Th
Method: DFT, PBE-GGA
State: relaxed

Cell: 9.6593 9.6593 6.9477 Å, 90.00 90.00 120.00°
Positions (direct):
Dy1 0.0000 0.3335 0.2500
Dy2 0.0000 0.6665 0.7500
Dy3 0.3335 0.0000 0.2500
Dy4 0.3335 0.3335 0.7500
Dy5 0.6665 0.0000 0.7500
Dy6 0.6665 0.6665 0.2500
Ho1 0.0000 0.3327 0.7500
Ho2 0.0000 0.6673 0.2500
Ho3 0.3327 0.0000 0.7500
Ho4 0.3327 0.3327 0.2500
Ho5 0.3333 0.6667 0.0000
Ho6 0.3333 0.6667 0.5000
Ho7 0.6673 0.0000 0.2500
Ho8 0.6667 0.3333 0.0000
Ho9 0.6667 0.3333 0.5000
Ho10 0.6673 0.6673 0.7500
Th1 0.0000 0.0000 0.0000
Th2 0.0000 0.0000 0.5000

Summary:
size of the total moment: 0.0 μB/f.u.
symmetry: P6_3/mcm, No. 193
V: 31.19 Å³/atom
energy of formation: 0.064 eV/atom